[1]
The following is a DFT calculation (PBE) of ZnTeF2 after structural relaxation.

```
ZnTeF2
1.0
-2.487 4.509 2.777
-2.042 -3.647 4.094
1.305 0.994 5.717
Zn Te F
2 2 4
direct
0.500 0.500 0.000 Zn
0.250 0.750 0.500 Zn
0.000 0.000 0.000 Te
0.750 0.250 0.500 Te
0.467 0.125 0.250 F
0.283 0.625 0.250 F
0.375 0.533 0.750 F
0.875 0.717 0.750 F
```

Values from the calculation:
The formation energy (no corrections) is -1.27 eV/atom. For the calculated density, the calculation gives 5.25 g cm⁻³. Its energy above the lowest structure with this stoichiometry is 0.243 eV per atom.

---

[2]
The following is a DFT calculation (PBE) of ZnTeF2 after structural relaxation.

```
ZnTeF2
1.0
0.000 3.162 3.162
3.162 0.000 3.162
3.162 3.162 0.000
Zn Te F
1 1 2
direct
0.000 0.000 0.000 Zn
0.500 0.500 0.500 Te
0.250 0.250 0.250 F
0.750 0.750 0.750 F
```

Values from the calculation:
The formation energy (no corrections) is -0.61 eV/atom. For the calculated density, the calculation gives 6.07 g cm⁻³. Its energy above the lowest structure with this stoichiometry is 0.906 eV per atom.

---

[3]
The following is a DFT calculation (PBE) of ZrTeF3 after structural relaxation.

```
ZrTeF3
1.0
4.384 0.000 0.000
0.000 4.384 0.000
0.000 0.000 4.384
Te Zr F
1 1 3
direct
0.500 0.500 0.500 Te
0.000 0.000 0.000 Zr
0.000 0.500 0.000 F
0.000 0.000 0.500 F
0.500 0.000 0.000 F
```

Values from the calculation:
The formation energy (no corrections) is -2.12 eV/atom. For the calculated density, the calculation gives 5.44 g cm⁻³. Its energy above the lowest structure with this stoichiometry is 0.589 eV per atom.